# 1
First-principles (PBE) data for Tb2Dy2Ni after structural relaxation, as listed in OQMD.

Cell and atoms, written as POSCAR:
```
Tb2Dy2Ni
1.0
-3.9800 2.6929 -2.0476
-0.8530 -4.6703 2.1785
-1.7009 4.7941 9.6114
Ni Dy Tb
2 4 4
Direct
0.0000 0.0000 0.7500
0.0000 0.0000 0.2500
0.0000 0.0000 0.0000
0.0000 0.0000 0.5000
0.3333 0.6667 0.7500
0.6667 0.3333 0.2500
0.3333 0.6667 0.4025
0.6667 0.3333 0.9025
0.3333 0.6667 0.0975
0.6667 0.3333 0.5975
```

Summary:
Its total energy is -4.767 eV/atom. As for the formation energy: 0.0390 eV/atom.



# 2
First-principles (PBE) data for TbDyNi4 after structural relaxation, as listed in OQMD.

Cell and atoms, written as POSCAR:
```
TbDyNi4
1.0
2.6727 -4.6311 0.0000
2.6727 4.6311 0.0000
0.0000 0.0000 8.0383
Ni Tb Dy
8 2 2
Direct
0.5000 0.0000 0.2266
0.0000 0.0000 0.2266
0.0000 0.5000 0.2266
0.0000 0.0000 0.7734
0.1666 0.8334 0.0000
0.0000 0.5000 0.7734
0.8334 0.1666 0.0000
0.5000 0.0000 0.7734
0.5000 0.5000 0.0000
0.5000 0.5000 0.5000
0.1667 0.8333 0.5000
0.8333 0.1667 0.5000
```

Summary:
Its total energy is -5.273 eV/atom. As for the formation energy: -0.0231 eV/atom.